This record from Alexandria describes TcN2F2 after structural relaxation. The functional is PBEsol.

Energy relative to the elements, uncorrected, eV per atom: 1.72
SG: P4/mmm, No. 123
Uncorrected energy, eV/cell: -23.6
D(E_F), states/eV per cell: 3.58
Spin magnetization, Bohr magnetons per cell: 2.43

Structure (POSCAR):
```
TcN2F2
1.0
3.481 0.000 0.000
0.000 3.481 0.000
0.000 0.000 3.993
Tc N F
1 2 2
Direct
0.000 0.000 0.000 Tc
0.000 0.500 0.500 N
0.500 0.000 0.500 N
0.500 0.500 0.000 F
0.500 0.500 0.500 F
```



This record from Alexandria describes K2ScHg after structural relaxation. The functional is PBEsol.

SG: Fm-3m, No. 225
Energy relative to the elements, eV per formula unit: 2.195
Uncorrected energy, eV/cell: -7.2
D(E_F), states/eV per cell: 4.67
Spin magnetization, Bohr magnetons per cell: 1.72

Structure (POSCAR):
```
K2ScHg
1.0
0.000 4.157 4.157
4.157 0.000 4.157
4.157 4.157 0.000
K Sc Hg
2 1 1
Direct
0.250 0.250 0.250 K
0.750 0.750 0.750 K
0.000 0.000 0.000 Sc
0.500 0.500 0.500 Hg
```



This record from Alexandria describes LaCdIN2 after structural relaxation. The functional is PBEsol.

Energy relative to the elements, uncorrected, eV per atom: 0.78
SG: P4/mmm, No. 123
Uncorrected energy, eV/cell: -21.4
D(E_F), states/eV per cell: 2.62
Spin magnetization, Bohr magnetons per cell: 1.30

Structure (POSCAR):
```
LaCdIN2
1.0
4.413 0.000 0.000
0.000 4.413 0.000
0.000 0.000 5.407
La Cd I N
1 1 1 2
Direct
0.000 0.000 0.000 La
0.500 0.500 0.500 Cd
0.500 0.500 0.000 I
0.000 0.500 0.500 N
0.500 0.000 0.500 N
```